# 1
NpTc6P4 | PBE | optimized geometry

Output
Density of states at the Fermi level = 13.31 states/eV per cell
ΔE_f = -499 meV/atom
Mass density = 9881 kg/m3
Total moment = 0.23 μB/atom

abc: 3.2479 7.5295 7.5295
angles: 120.00 90.00 90.00
Closest atoms and distances in Å follow each position.
Element x y z (fractional)
Np 0.0000 0.0000 0.0000  6 P 2.88, 6 Tc 3.05
Tc 0.5000 0.6038 0.8019  4 P 2.40-2.49
Tc 0.0000 0.5408 0.4592  5 P 2.44-2.71
Tc 0.5000 0.1981 0.3962  4 P 2.40-2.49
Tc 0.5000 0.1981 0.8019  4 P 2.40-2.49
P 0.5000 0.8172 0.6343  6 Tc 2.44-2.49
P 0.5000 0.8172 0.1828  6 Tc 2.44-2.49
P 0.5000 0.3657 0.1828  6 Tc 2.44-2.49
P 0.0000 0.3333 0.6667  6 Tc 2.40
Tc 0.0000 0.5408 0.0816  5 P 2.44-2.71
Tc 0.0000 0.9184 0.4592  5 P 2.44-2.71

# 2
NpTc5P2 | PBE | optimized geometry

Output
Density of states at the Fermi level = 15.19 states/eV per cell
ΔE_f = -243 meV/atom
Mass density = 10347 kg/m3
Total moment = 0.50 μB/atom

abc: 3.9128 6.0909 6.0909
angles: 71.72 71.32 71.32
Closest atoms and distances in Å follow each position.
Element x y z (fractional)
Np 0.0000 0.0000 0.0000  4 P 2.95, 8 Tc 3.22
P 0.7426 0.7569 0.7569  7 Tc 2.33-2.60
Tc 0.3587 0.8313 0.4511  3 P 2.40-2.60, 1 Tc 2.56
P 0.2574 0.2431 0.2431  7 Tc 2.33-2.60
Tc 0.3587 0.4511 0.8313  3 P 2.40-2.60, 1 Tc 2.56
Tc 0.0000 0.5000 0.5000  2 P 2.33
Tc 0.6413 0.1687 0.5489  3 P 2.40-2.60, 1 Tc 2.56
Tc 0.6413 0.5489 0.1687  3 P 2.40-2.60, 1 Tc 2.56

# 3
NpVTcP2 | PBE | optimized geometry

Output
Density of states at the Fermi level = 10.80 states/eV per cell
ΔE_f = -634 meV/atom
Mass density = 9303 kg/m3
Total moment = 0.90 μB/atom

abc: 3.8220 3.8220 6.1038
angles: 108.25 108.25 90.00
Closest atoms and distances in Å follow each position.
Element x y z (fractional)
V 0.7500 0.2500 0.5000  4 P 2.41
P 0.6165 0.6165 0.2331  2 Tc 2.41, 2 V 2.41, 1 P 2.55
Np 0.0000 0.0000 0.0000  8 P 2.99, 4 Tc 3.34, 4 V 3.34
Tc 0.2500 0.7500 0.5000  4 P 2.41
P 0.3835 0.3835 0.7669  2 Tc 2.41, 2 V 2.41, 1 P 2.55

# 4
Np2TeP | PBE | optimized geometry

Output
Density of states at the Fermi level = 35.18 states/eV per cell
Energy above the lowest structure with this stoichiometry = 0.0219 eV/atom
Energy relative to the elements, uncorrected = -277 kJ/mol of formula units
Mass density = 10026 kg/m3
Total moment = 2.12 μB/atom

abc: 4.1302 4.1302 14.1840
angles: 90.00 90.00 120.00
Closest atoms and distances in Å follow each position.
Element x y z (fractional)
Te 0.3333 0.6667 0.7500  6 Np 3.16
P 0.0000 0.0000 0.0000  6 Np 2.81
P 0.0000 0.0000 0.5000  6 Np 2.81
Te 0.6667 0.3333 0.2500  6 Np 3.16
Np 0.6667 0.3333 0.8958  3 P 2.81
Np 0.6667 0.3333 0.6042  3 P 2.81
Np 0.3333 0.6667 0.3958  3 P 2.81
Np 0.3333 0.6667 0.1042  3 P 2.81

# 5
Np2TeP | PBE | optimized geometry

Output
Density of states at the Fermi level = 17.36 states/eV per cell
Energy above the lowest structure with this stoichiometry = 0.0000 eV/atom
Energy relative to the elements, uncorrected = -285 kJ/mol of formula units
Mass density = 10153 kg/m3
Total moment = 2.09 μB/atom

abc: 4.1614 4.1614 7.3047
angles: 73.45 73.45 60.00
Closest atoms and distances in Å follow each position.
Element x y z (fractional)
Te 0.0000 0.0000 0.0000  6 Np 3.12
Np 0.7626 0.7626 0.7122  3 P 2.81, 3 Te 3.12
Np 0.2374 0.2374 0.2878  3 P 2.81, 3 Te 3.12
P 0.5000 0.5000 0.5000  6 Np 2.81

# 6
ThNpP | PBE | optimized geometry

Output
Density of states at the Fermi level = 10.75 states/eV per cell
ΔE_f = -596 meV/atom
Mass density = 11648 kg/m3
Total moment = 0.00 μB/atom

abc: 3.5585 4.4421 10.2566
angles: 97.65 80.01 66.39
Closest atoms and distances in Å follow each position.
Element x y z (fractional)
P 0.8114 0.6999 0.6773  5 Np 2.79-2.86, 3 Th 2.87-2.91
Np 0.6220 0.2210 0.5350  3 Np 2.52-2.53, 3 P 2.79-2.82
Th 0.9889 0.1853 0.8368  3 P 2.87-2.91
P 0.1886 0.3001 0.3227  5 Np 2.79-2.86, 3 Th 2.87-2.91
Np 0.3780 0.7790 0.4650  3 Np 2.52-2.53, 3 P 2.79-2.82
Th 0.0111 0.8147 0.1632  3 P 2.87-2.91

# 7
Th3NpP4 | PBE | optimized geometry

Output
Density of states at the Fermi level = 10.75 states/eV per cell
ΔE_f = -1378 meV/atom
Mass density = 8929 kg/m3
Total moment = 0.54 μB/atom

abc: 5.8144 5.8144 5.8144
angles: 90.00 90.00 90.00
Closest atoms and distances in Å follow each position.
Element x y z (fractional)
P 0.5000 0.5000 0.5000  6 Th 2.91
Th 0.0000 0.5000 0.5000  6 P 2.91
Np 0.0000 0.0000 0.0000  6 P 2.91
P 0.0000 0.0000 0.5000  4 Th 2.91, 2 Np 2.91
Th 0.5000 0.0000 0.5000  6 P 2.91
P 0.5000 0.0000 0.0000  4 Th 2.91, 2 Np 2.91
P 0.0000 0.5000 0.0000  4 Th 2.91, 2 Np 2.91
Th 0.5000 0.5000 0.0000  6 P 2.91

# 8
Th4NpP5 | PBE | optimized geometry

Output
Density of states at the Fermi level = 14.68 states/eV per cell
ΔE_f = -1409 meV/atom
Mass density = 8899 kg/m3
Total moment = 0.40 μB/atom

abc: 5.8178 7.1273 7.1273
angles: 80.41 65.91 65.91
Closest atoms and distances in Å follow each position.
Element x y z (fractional)
Np 0.0012 0.0000 0.0000  6 P 2.86-2.91
P 0.9025 0.3928 0.8041  1 Np 2.86, 5 Th 2.91-2.95
Th 0.4029 0.3978 0.7983  6 P 2.90-2.95
P 0.2953 0.8041 0.6072  1 Np 2.86, 5 Th 2.91-2.95
P 0.7066 0.1959 0.3928  1 Np 2.86, 5 Th 2.91-2.95
P 0.0994 0.6072 0.1959  1 Np 2.86, 5 Th 2.91-2.95
Th 0.8008 0.7983 0.6022  6 P 2.90-2.95
P 0.5012 0.0000 0.0000  4 Th 2.90, 2 Np 2.91
Th 0.5990 0.6022 0.2017  6 P 2.90-2.95
Th 0.2012 0.2017 0.3978  6 P 2.90-2.95

# 9
ThNp5P6 | PBE | optimized geometry

Output
Density of states at the Fermi level = 42.99 states/eV per cell
ΔE_f = -956 meV/atom
Mass density = 9853 kg/m3
Total moment = 0.94 μB/atom

abc: 6.9223 6.9223 6.9167
angles: 99.66 99.66 120.07
Closest atoms and distances in Å follow each position.
Element x y z (fractional)
Np 0.5000 0.5000 0.5000  6 P 2.77-2.83
P 0.2569 0.2569 0.7471  5 Np 2.77-2.81, 1 Th 2.88
Np 0.6665 0.3335 0.0000  6 P 2.81-2.83
P 0.7431 0.7431 0.2529  5 Np 2.77-2.81, 1 Th 2.88
Np 0.8363 0.1637 0.5000  6 P 2.77-2.83
P 0.9160 0.5727 0.7446  5 Np 2.77-2.83, 1 Th 2.90
P 0.5727 0.9160 0.7446  5 Np 2.77-2.83, 1 Th 2.90
Np 0.1637 0.8363 0.5000  6 P 2.77-2.83
Th 0.0000 0.0000 0.0000  6 P 2.88-2.90
P 0.4273 0.0840 0.2554  5 Np 2.77-2.83, 1 Th 2.90
Np 0.3335 0.6665 0.0000  6 P 2.81-2.83
P 0.0840 0.4273 0.2554  5 Np 2.77-2.83, 1 Th 2.90

# 10
ThNp4P5 | PBE | optimized geometry

Output
Density of states at the Fermi level = 31.39 states/eV per cell
ΔE_f = -1003 meV/atom
Mass density = 9765 kg/m3
Total moment = 1.52 μB/atom

abc: 4.0171 6.9206 8.9550
angles: 74.89 77.04 73.13
Closest atoms and distances in Å follow each position.
Element x y z (fractional)
P 0.6069 0.6825 0.1037  4 Np 2.79-2.83, 2 Th 2.91
Np 0.7980 0.6082 0.7957  6 P 2.79-2.83
P 0.2027 0.9035 0.6910  5 Np 2.79-2.82, 1 Th 2.90
Np 0.2020 0.3918 0.2043  6 P 2.79-2.83
P 0.7973 0.0965 0.3090  5 Np 2.79-2.82, 1 Th 2.90
P 0.3931 0.3175 0.8963  4 Np 2.79-2.83, 2 Th 2.91
Np 0.5972 0.2039 0.6016  6 P 2.79-2.83
Np 0.4028 0.7961 0.3984  6 P 2.79-2.83
Th 0.0000 0.0000 0.0000  6 P 2.90-2.91
P 0.0000 0.5000 0.5000  6 Np 2.82

# 11
Th5NpP6 | PBE | optimized geometry

Output
Density of states at the Fermi level = 17.35 states/eV per cell
ΔE_f = -1431 meV/atom
Mass density = 8866 kg/m3
Total moment = 0.33 μB/atom

abc: 7.1304 7.1304 7.1426
angles: 99.61 99.61 119.99
Closest atoms and distances in Å follow each position.
Element x y z (fractional)
Th 0.5000 0.5000 0.5000  6 P 2.91-2.96
P 0.7552 0.7552 0.2478  1 Np 2.87, 5 Th 2.92-2.96
P 0.9183 0.5912 0.7544  1 Np 2.86, 5 Th 2.91-2.95
P 0.0817 0.4088 0.2456  1 Np 2.86, 5 Th 2.91-2.95
Np 0.0000 0.0000 0.0000  6 P 2.86-2.87
P 0.5912 0.9183 0.7544  1 Np 2.86, 5 Th 2.91-2.95
Th 0.8315 0.1685 0.5000  6 P 2.91-2.95
Th 0.1685 0.8315 0.5000  6 P 2.91-2.95
Th 0.6664 0.3336 0.0000  6 P 2.91-2.92
P 0.2448 0.2448 0.7522  1 Np 2.87, 5 Th 2.92-2.96
Th 0.3336 0.6664 0.0000  6 P 2.91-2.92
P 0.4088 0.0817 0.2456  1 Np 2.86, 5 Th 2.91-2.95

# 12
ThNp2P4 | PBE | optimized geometry

Output
Density of states at the Fermi level = 36.74 states/eV per cell
ΔE_f = -788 meV/atom
Mass density = 8422 kg/m3
Total moment = 0.85 μB/atom

abc: 3.9981 6.8235 12.5464
angles: 90.00 90.00 107.04
Closest atoms and distances in Å follow each position.
Element x y z (fractional)
P 0.0409 0.0819 0.2500  2 Np 2.64, 2 Th 2.84
P 0.5000 0.0000 0.0000  4 Np 2.75
Np 0.8678 0.7356 0.9380  6 P 2.64-2.76
Th 0.3859 0.7719 0.2500  6 P 2.84-2.99
P 0.2352 0.4705 0.6253  3 Np 2.71-2.76, 2 Th 2.99
P 0.5000 0.0000 0.5000  4 Np 2.75
P 0.7648 0.5295 0.3747  3 Np 2.71-2.76, 2 Th 2.99
Np 0.8678 0.7356 0.5620  6 P 2.64-2.76
P 0.2352 0.4705 0.8747  3 Np 2.71-2.76, 2 Th 2.99
P 0.7648 0.5295 0.1253  3 Np 2.71-2.76, 2 Th 2.99
Np 0.1322 0.2644 0.4380  6 P 2.64-2.76
Th 0.6141 0.2281 0.7500  6 P 2.84-2.99
Np 0.1322 0.2644 0.0620  6 P 2.64-2.76
P 0.9591 0.9181 0.7500  2 Np 2.64, 2 Th 2.84